(1)
Crystalline Tc2Ir at its relaxed geometry, computed with PBE.

Unit cell a=6.0803 b=6.0803 c=5.0123 alpha=90.00 beta=90.00 gamma=90.00
Atoms (fractional coordinates):
Tc (0.1385, 0.3615, 0.0000)
Tc (0.1385, 0.6385, 0.5000)
Tc (0.3615, 0.1385, 0.5000)
Tc (0.3615, 0.8615, 0.0000)
Tc (0.6385, 0.1385, 0.0000)
Tc (0.6385, 0.8615, 0.5000)
Tc (0.8615, 0.3615, 0.5000)
Tc (0.8615, 0.6385, 0.0000)
Ir (0.0000, 0.0000, 0.2500)
Ir (0.0000, 0.0000, 0.7500)
Ir (0.5000, 0.5000, 0.2500)
Ir (0.5000, 0.5000, 0.7500)

space group = No. 140
energy above the most stable polymorph in this dataset = 0.2816 eV per atom
energy of formation = 0.069 eV per atom
total DFT energy (no corrections) = -9.795 eV per atom

(2)
Crystalline K2CoPt at its relaxed geometry, computed with PBE.

Unit cell a=4.1298 b=4.1302 c=10.3665 alpha=90.00 beta=90.00 gamma=90.00
Atoms (fractional coordinates):
K (0.0000, 0.0000, 0.2464)
K (0.0000, 0.0000, 0.7536)
K (0.5000, 0.5000, 0.2536)
K (0.5000, 0.5000, 0.7464)
Co (0.0000, 0.5000, 0.0000)
Co (0.5000, 0.0000, 0.5000)
Pt (0.0000, 0.5000, 0.5000)
Pt (0.5000, 0.0000, 0.0000)

space group = No. 71
energy above the most stable polymorph in this dataset = 0.5386 eV per atom
energy of formation = 0.721 eV per atom
total DFT energy (no corrections) = -3.114 eV per atom